{"formula": "PmPa2CuN4", "functional": "PBE-GGA", "state": "relaxed", "lattice": [[3.547, 0.000, 0.000], [-1.774, 5.747, 0.000], [0.000, 0.000, 11.490]], "species": ["Pm", "Pm", "Pa", "Pa", "Pa", "Pa", "Cu", "Cu", "N", "N", "N", "N", "N", "N", "N", "N"], "fractional_positions": [[0.099, 0.197, 0.750], [0.901, 0.803, 0.250], [0.371, 0.741, 0.557], [0.629, 0.259, 0.057], [0.629, 0.259, 0.443], [0.371, 0.741, 0.943], [0.829, 0.659, 0.750], [0.171, 0.341, 0.250], [0.269, 0.538, 0.109], [0.731, 0.462, 0.609], [0.731, 0.462, 0.891], [0.269, 0.538, 0.391], [0.000, 0.000, 0.500], [0.000, 0.000, 0.000], [0.441, 0.882, 0.750], [0.559, 0.118, 0.250]], "total_magnetization_mub_per_atom": 0.00, "volume_a3_per_fu": 117, "raw_formation_energy_ev_per_atom": -1.2153, "total_energy_ev_per_atom": -8.858}

{"formula": "CeHoAg", "functional": "PBE-GGA", "state": "relaxed", "lattice": [[-1.031, -3.288, 0.404], [1.169, 0.262, 5.113], [-7.356, 4.318, 1.460]], "species": ["Ag", "Ag", "Ho", "Ho", "Ce", "Ce"], "fractional_positions": [[0.427, 0.250, 0.855], [0.573, 0.750, 0.145], [0.920, 0.750, 0.839], [0.080, 0.250, 0.161], [0.769, 0.250, 0.538], [0.231, 0.750, 0.462]], "total_magnetization_mub_per_atom": 0.25, "volume_a3_per_fu": 77, "total_energy_ev_per_atom": -4.568, "polymorph_energy_mev_per_atom": 0}

{"formula": "FeOs3", "functional": "PBE-GGA", "state": "relaxed", "lattice": [[-0.126, -2.644, -3.814], [-2.973, -1.672, 3.149], [-1.953, 1.558, -1.016]], "species": ["Fe", "Os", "Os", "Os"], "fractional_positions": [[0.000, 0.000, 0.000], [0.000, 0.500, 0.500], [0.500, 0.000, 0.500], [0.500, 0.500, 0.000]], "total_magnetization_mub_per_atom": 0.34, "volume_a3_per_fu": 55, "total_energy_ev_per_atom": -10.362}

{"formula": "CsSc3Mn", "functional": "PBE-GGA", "state": "relaxed", "lattice": [[-2.158, -2.518, -3.937], [4.640, -1.673, -1.473], [-0.558, -4.166, 2.971]], "species": ["Cs", "Sc", "Sc", "Sc", "Mn"], "fractional_positions": [[0.500, 0.500, 0.500], [0.000, 0.500, 0.000], [0.000, 0.000, 0.500], [0.500, 0.000, 0.000], [0.000, 0.000, 0.000]], "total_magnetization_mub_per_atom": 0.00, "volume_a3_per_fu": 136, "total_energy_ev_per_atom": -5.234, "polymorph_energy_mev_per_atom": 0}